Entry 1:
BeCuTcSb2: relaxed, PBE-GGA.

abc: 4.8494 4.0113 4.8494
angles: 90.00 90.00 90.00
Site moments in Bohr magnetons follow the coordinates.
Sites, in units of the cell vectors:
Tc 0.5000 0.5000 0.5000  2.26
Sb 0.5000 0.0000 0.0000  -0.06
Sb 0.0000 0.0000 0.5000  -0.04
Cu 0.0000 0.5000 0.0000  0.04
Be 0.0000 0.0000 0.0000  0.03

Output
The value obtained for the total energy is -4.418 eV per atom. Its space group is P4/mmm (123). As for the raw formation energy: 0.868 eV per atom. For the volume, the calculation gives 94.3 Å³/cell.



Entry 2:
BeCuSbTe2: relaxed, PBE-GGA.

abc: 5.2243 4.9118 5.2243
angles: 90.00 90.00 90.00
Sites, in units of the cell vectors:
Sb 0.0000 0.5000 0.0000
Cu 0.0000 0.0000 0.0000
Te 0.0000 0.0000 0.5000
Te 0.5000 0.0000 0.0000
Be 0.5000 0.5000 0.5000

Output
The value obtained for the total energy is -2.747 eV per atom. Its space group is P4/mmm (123). As for the raw formation energy: 0.899 eV per atom. For the volume, the calculation gives 134.1 Å³/cell. Its energy above the most stable polymorph in this dataset is 231.3 meV/atom.



Entry 3:
BeCuSb2Te: relaxed, PBE-GGA.

abc: 5.0288 5.0288 5.2047
angles: 90.00 90.00 90.00
Sites, in units of the cell vectors:
Sb 0.5000 0.0000 0.0000
Sb 0.0000 0.5000 0.0000
Be 0.5000 0.5000 0.5000
Cu 0.0000 0.0000 0.0000
Te 0.0000 0.0000 0.5000

Output
The value obtained for the total energy is -2.928 eV per atom. Its space group is P4/mmm (123). As for the raw formation energy: 0.914 eV per atom. For the volume, the calculation gives 131.6 Å³/cell. Its energy above the most stable polymorph in this dataset is 228.1 meV/atom.



Entry 4:
BeCuSb2Te: relaxed, PBE-GGA.

abc: 4.8391 4.8391 5.0811
angles: 90.00 90.00 90.00
Sites, in units of the cell vectors:
Be 0.0000 0.0000 0.0000
Te 0.0000 0.0000 0.5000
Cu 0.5000 0.5000 0.5000
Sb 0.5000 0.0000 0.0000
Sb 0.0000 0.5000 0.0000

Output
The value obtained for the total energy is -3.156 eV per atom. Its space group is P4/mmm (123). As for the raw formation energy: 0.686 eV per atom. For the volume, the calculation gives 119.0 Å³/cell. Its energy above the most stable polymorph in this dataset is 0.0 meV/atom.



Entry 5:
BeCuSbTe2: relaxed, PBE-GGA.

abc: 5.0851 5.0851 4.6913
angles: 90.00 90.00 90.00
Sites, in units of the cell vectors:
Cu 0.5000 0.5000 0.5000
Te 0.0000 0.5000 0.0000
Te 0.5000 0.0000 0.0000
Sb 0.0000 0.0000 0.5000
Be 0.0000 0.0000 0.0000

Output
The value obtained for the total energy is -2.978 eV per atom. Its space group is P4/mmm (123). As for the raw formation energy: 0.668 eV per atom. For the volume, the calculation gives 121.3 Å³/cell. Its energy above the most stable polymorph in this dataset is 0.0 meV/atom.



Entry 6:
ZrBe2CuSb: relaxed, PBE-GGA.

abc: 4.1405 5.0730 4.1405
angles: 90.00 90.00 90.00
Sites, in units of the cell vectors:
Sb 0.0000 0.5000 0.0000
Zr 0.5000 0.5000 0.5000
Be 0.5000 0.0000 0.0000
Be 0.0000 0.0000 0.5000
Cu 0.0000 0.0000 0.0000

Output
The value obtained for the total energy is -4.419 eV per atom. Its space group is P4/mmm (123). As for the raw formation energy: 0.425 eV per atom. For the volume, the calculation gives 87.0 Å³/cell.



Entry 7:
Sc4BeCu3: relaxed, PBE-GGA.

abc: 3.2365 3.2365 12.9376
angles: 90.00 90.00 90.00
Sites, in units of the cell vectors:
Be 0.5000 0.5000 0.0000
Cu 0.5000 0.5000 0.2442
Cu 0.5000 0.5000 0.7558
Cu 0.5000 0.5000 0.5000
Sc 0.0000 0.0000 0.6274
Sc 0.0000 0.0000 0.8810
Sc 0.0000 0.0000 0.1190
Sc 0.0000 0.0000 0.3726

Output
The value obtained for the total energy is -5.388 eV per atom. Its space group is P4/mmm (123). For the volume, the calculation gives 135.5 Å³/cell. The formation energy from the elements is -221 meV per atom.



Entry 8:
ScBeCu: relaxed, PBE-GGA.

abc: 3.9704 3.9704 3.2669
angles: 90.00 90.00 120.00
Sites, in units of the cell vectors:
Sc 0.3333 0.6667 0.6664
Cu 0.6667 0.3333 0.1668
Be 0.0000 0.0000 0.1668

Output
The value obtained for the total energy is -4.860 eV per atom. Its space group is P-6m2 (187). For the volume, the calculation gives 44.6 Å³/cell. Its energy above the most stable polymorph in this dataset is 35.2 meV/atom. The formation energy from the elements is -142 meV per atom.



Entry 9:
Sc2Be2Cu: relaxed, PBE-GGA.

abc: 6.3169 6.3169 3.8461
angles: 90.00 90.00 90.00
Sites, in units of the cell vectors:
Sc 0.8263 0.3263 0.5000
Sc 0.3263 0.1737 0.5000
Sc 0.1737 0.6737 0.5000
Sc 0.6737 0.8263 0.5000
Be 0.1220 0.3780 0.0000
Be 0.8780 0.6220 0.0000
Be 0.6220 0.1220 0.0000
Be 0.3780 0.8780 0.0000
Cu 0.5000 0.5000 0.0000
Cu 0.0000 0.0000 0.0000

Output
The value obtained for the total energy is -4.898 eV per atom. Its space group is P4/mbm (127). For the volume, the calculation gives 153.5 Å³/cell. Its energy above the most stable polymorph in this dataset is 0.0 meV/atom. The formation energy from the elements is -55 meV per atom.



Entry 10:
ScBeCu: relaxed, PBE-GGA.

abc: 5.1706 5.1705 3.0142
angles: 73.06 73.05 33.89
Sites, in units of the cell vectors:
Be 0.9707 0.9707 0.0293
Cu 0.3651 0.3651 0.6349
Sc 0.6642 0.6642 0.3358

Output
The value obtained for the total energy is -4.793 eV per atom. Its space group is I4mm (107). For the volume, the calculation gives 42.8 Å³/cell. Its energy above the most stable polymorph in this dataset is 102.4 meV/atom. The formation energy from the elements is -75 meV per atom.



Entry 11:
ScBe17Cu: relaxed, PBE-GGA.

abc: 5.5965 5.5965 5.5965
angles: 82.71 82.71 82.71
Sites, in units of the cell vectors:
Be 0.0039 0.2941 0.7003
Be 0.6555 0.1639 0.6555
Be 0.8532 0.3417 0.3417
Be 0.2941 0.7003 0.0039
Be 0.1639 0.6555 0.6555
Be 0.9019 0.9019 0.9019
Be 0.2941 0.0039 0.7003
Be 0.9885 0.5067 0.9885
Be 0.3417 0.8532 0.3417
Be 0.3417 0.3417 0.8532
Be 0.1003 0.1003 0.1003
Be 0.7003 0.0039 0.2941
Be 0.9885 0.9885 0.5067
Be 0.5067 0.9885 0.9885
Be 0.0039 0.7003 0.2941
Be 0.7003 0.2941 0.0039
Be 0.6555 0.6555 0.1639
Sc 0.6586 0.6586 0.6586
Cu 0.3475 0.3475 0.3475

Output
The value obtained for the total energy is -3.943 eV per atom. Its space group is R3m (160). For the volume, the calculation gives 171.4 Å³/cell. The formation energy from the elements is -60 meV per atom.



Entry 12:
ScBe3Cu10: relaxed, PBE-GGA.

abc: 7.8654 7.8654 7.8654
angles: 60.00 60.00 60.00
Sites, in units of the cell vectors:
Cu 0.1573 0.6142 0.6142
Cu 0.6553 0.0000 0.3447
Cu 0.0000 0.0000 0.6553
Cu 0.3447 0.0000 0.6553
Cu 0.0000 0.0000 0.3447
Cu 0.6142 0.1573 0.6142
Cu 0.6142 0.6142 0.1573
Cu 0.0000 0.3447 0.0000
Cu 0.8427 0.3858 0.3858
Cu 0.3858 0.8427 0.3858
Cu 0.3447 0.0000 0.0000
Cu 0.6553 0.3447 0.0000
Cu 0.6142 0.6142 0.6142
Cu 0.3858 0.3858 0.8427
Cu 0.0000 0.3447 0.6553
Cu 0.6553 0.0000 0.0000
Cu 0.0000 0.6553 0.3447
Cu 0.3858 0.3858 0.3858
Cu 0.0000 0.6553 0.0000
Cu 0.3447 0.6553 0.0000
Be 0.7348 0.7348 0.2652
Be 0.2652 0.7348 0.2652
Be 0.2652 0.2652 0.7348
Be 0.2652 0.7348 0.7348
Be 0.7348 0.2652 0.7348
Be 0.7348 0.2652 0.2652
Sc 0.7500 0.7500 0.7500
Sc 0.2500 0.2500 0.2500

Output
The value obtained for the total energy is -4.164 eV per atom. Its space group is Fm-3m (225). For the volume, the calculation gives 344.1 Å³/cell. The formation energy from the elements is 13 meV per atom.



- What is the volume in the seventh record?
  135.5 Å³/cell



- What is the formula in the second record?
  BeCuSbTe2



- Among the records above, which one has the lowest volume?
  number 10